# 1
Here is a relaxed SrLi3MnN3 crystal from Alexandria via LeMat-Bulk. Energies are from PBEsol.

Calculated values
Energy relative to the elements, uncorrected = -0.697 eV/atom

Geometry as POSCAR:
```
SrLi3MnN3
1.0
5.788 0.000 0.000
2.894 5.013 0.000
2.894 1.671 6.298
N Sr Li Mn
6 2 6 2
direct
0.205 0.905 0.270 N
0.795 0.095 0.730 N
0.095 0.380 0.730 N
0.905 0.620 0.270 N
0.380 0.795 0.730 N
0.620 0.205 0.270 N
0.337 0.337 0.988 Sr
0.663 0.663 0.012 Sr
0.238 0.476 0.391 Li
0.524 0.105 0.609 Li
0.762 0.524 0.609 Li
0.895 0.238 0.391 Li
0.105 0.762 0.609 Li
0.476 0.895 0.391 Li
0.067 0.067 0.800 Mn
0.933 0.933 0.200 Mn
```



# 2
Here is a relaxed NaLi2Mn crystal from Alexandria via LeMat-Bulk. Energies are from PBEsol.

Calculated values
Calculated formation energy = 534 meV per atom

Geometry as POSCAR:
```
NaLi2Mn
1.0
-0.948 3.679 3.049
-1.385 -0.926 4.577
3.028 0.940 3.698
Li Mn Na
2 1 1
direct
0.750 0.750 0.750 Li
0.250 0.250 0.250 Li
0.500 0.500 0.500 Mn
0.000 0.000 0.000 Na
```



# 3
Here is a relaxed NaLiMn2 crystal from Alexandria via LeMat-Bulk. Energies are from PBEsol.

Calculated values
Calculated formation energy = 1001 meV per atom

Geometry as POSCAR:
```
NaLiMn2
1.0
4.687 0.000 0.000
2.343 4.059 0.000
2.343 1.353 3.827
Mn Na Li
2 1 1
direct
0.750 0.750 0.750 Mn
0.250 0.250 0.250 Mn
0.500 0.500 0.500 Na
0.000 0.000 0.000 Li
```



# 4
Here is a relaxed Na3LiMn5O9 crystal from Alexandria via LeMat-Bulk. Energies are from PBEsol.

Calculated values
Energy relative to the elements, uncorrected = -1.606 eV/atom

Geometry as POSCAR:
```
Na3LiMn5O9
1.0
5.216 0.004 0.008
-2.523 4.565 0.007
-2.583 -1.420 7.741
O Mn Na Li
9 5 3 1
direct
0.042 0.017 0.993 O
0.107 0.203 0.687 O
0.674 0.385 0.993 O
0.833 0.739 0.280 O
0.492 0.080 0.280 O
0.199 0.450 0.268 O
0.440 0.882 0.697 O
0.756 0.551 0.687 O
0.319 0.669 0.971 O
0.443 0.396 0.153 Mn
0.871 0.271 0.825 Mn
0.531 0.601 0.821 Mn
0.107 0.733 0.153 Mn
0.200 0.931 0.821 Mn
0.643 0.823 0.482 Na
0.298 0.152 0.479 Na
0.969 0.476 0.481 Na
0.767 0.053 0.162 Li
```



# 5
Here is a relaxed Li4Mn3Nb2Ni3O16 crystal from Alexandria via LeMat-Bulk. Energies are from PBEsol.

Calculated values
Energy relative to the elements, uncorrected = -1.781 eV/atom

Geometry as POSCAR:
```
Li4Mn3Nb2Ni3O16
1.0
5.761 0.000 0.000
-2.881 5.030 0.007
0.000 -0.100 9.515
Mn O Li Ni Nb
3 16 4 3 2
direct
0.827 0.653 0.281 Mn
0.166 0.825 0.785 Mn
0.659 0.825 0.785 Mn
0.500 0.536 0.663 O
0.827 0.154 0.903 O
0.520 0.039 0.154 O
0.994 0.988 0.693 O
0.037 0.536 0.663 O
0.667 0.820 0.402 O
0.994 0.988 0.197 O
0.483 0.966 0.670 O
0.326 0.154 0.903 O
0.162 0.325 0.414 O
0.531 0.502 0.158 O
0.342 0.684 0.892 O
0.153 0.820 0.402 O
0.971 0.502 0.158 O
0.673 0.346 0.391 O
0.837 0.674 0.896 O
0.670 0.340 0.598 Li
0.998 0.996 0.010 Li
0.338 0.675 0.101 Li
0.996 0.991 0.504 Li
0.833 0.173 0.286 Ni
0.171 0.342 0.786 Ni
0.339 0.173 0.286 Ni
0.330 0.660 0.502 Nb
0.657 0.314 0.011 Nb
```



# 6
Here is a relaxed Li4Mn5NbO12 crystal from Alexandria via LeMat-Bulk. Energies are from PBEsol.

Calculated values
Energy relative to the elements, uncorrected = -1.822 eV/atom

Geometry as POSCAR:
```
Li4Mn5NbO12
1.0
5.136 0.019 0.026
-2.278 4.603 0.026
-0.880 -1.424 10.334
O Li Mn Nb
12 4 5 1
direct
0.308 0.308 0.411 O
0.840 0.840 0.088 O
0.692 0.692 0.589 O
0.769 0.408 0.892 O
0.231 0.592 0.108 O
0.592 0.231 0.108 O
0.662 0.006 0.394 O
0.994 0.338 0.606 O
0.338 0.994 0.606 O
0.408 0.769 0.892 O
0.006 0.662 0.394 O
0.160 0.160 0.912 O
0.565 0.924 0.212 Li
0.435 0.076 0.788 Li
0.076 0.435 0.788 Li
0.924 0.565 0.212 Li
0.836 0.164 0.000 Mn
0.666 0.334 0.500 Mn
0.334 0.666 0.500 Mn
0.500 0.500 0.000 Mn
0.164 0.836 0.000 Mn
0.000 0.000 0.500 Nb
```



# 7
Here is a relaxed Li4Mn3NbO8 crystal from Alexandria via LeMat-Bulk. Energies are from PBEsol.

Calculated values
Energy relative to the elements, uncorrected = -1.883 eV/atom

Geometry as POSCAR:
```
Li4Mn3NbO8
1.0
6.023 0.000 0.023
0.000 6.138 0.000
-0.191 0.000 8.331
O Li Mn Nb
16 8 6 2
direct
0.510 0.518 0.261 O
0.490 0.482 0.739 O
0.783 0.267 0.009 O
0.735 0.755 0.008 O
0.765 0.755 0.492 O
0.283 0.733 0.509 O
0.265 0.245 0.992 O
0.235 0.245 0.508 O
0.010 0.482 0.761 O
0.217 0.733 0.991 O
0.011 0.011 0.745 O
0.489 0.011 0.755 O
0.990 0.518 0.239 O
0.511 0.989 0.245 O
0.717 0.267 0.491 O
0.989 0.989 0.255 O
0.000 0.500 0.500 Li
0.000 0.000 0.500 Li
0.500 0.500 0.000 Li
0.750 0.257 0.750 Li
0.750 0.757 0.750 Li
0.250 0.243 0.250 Li
0.250 0.743 0.250 Li
0.500 0.000 0.000 Li
0.750 0.253 0.250 Mn
0.500 0.500 0.500 Mn
0.500 0.000 0.500 Mn
0.000 0.000 0.000 Mn
0.000 0.500 0.000 Mn
0.250 0.747 0.750 Mn
0.250 0.241 0.750 Nb
0.750 0.759 0.250 Nb
```



# 8
Here is a relaxed Li5Mn3Nb2O10 crystal from Alexandria via LeMat-Bulk. Energies are from PBEsol.

Calculated values
Energy relative to the elements, uncorrected = -1.976 eV/atom

Geometry as POSCAR:
```
Li5Mn3Nb2O10
1.0
5.278 0.079 0.055
1.013 5.080 0.017
2.595 2.099 7.173
Li Mn O Nb
5 3 10 2
direct
0.527 0.785 0.399 Li
0.497 0.401 0.210 Li
0.000 0.500 0.500 Li
0.473 0.215 0.601 Li
0.503 0.599 0.790 Li
0.500 0.000 0.000 Mn
0.990 0.306 0.899 Mn
0.010 0.694 0.101 Mn
0.254 0.161 0.451 O
0.773 0.441 0.344 O
0.253 0.337 0.056 O
0.261 0.777 0.242 O
0.746 0.839 0.549 O
0.227 0.559 0.656 O
0.231 0.951 0.847 O
0.739 0.223 0.758 O
0.747 0.663 0.944 O
0.769 0.049 0.153 O
0.006 0.906 0.678 Nb
0.994 0.094 0.322 Nb
```



What are the DOS at the Fermi energy values for these records? In order: 1.8, 3.5, 4.0, 1.2, 4.7, 6.3, 8.9, 3.1 states/eV/cell.